[1]
Si2SbPt (PBE-GGA, relaxed); E_form (uncorrected) = 314 meV/atom; spin magnetization = 0.00 μB per atom; space group = Cmmm, No. 65
1.0
2.851 -3.647 0.000
2.851 3.647 0.000
0.000 0.000 3.437
Si Sb Pt
2 1 1
direct
0.000 0.500 0.000
0.500 0.000 0.000
0.000 0.000 0.500
0.500 0.500 0.500


[2]
Si2SbPt (PBE-GGA, relaxed); E_form (uncorrected) = 333 meV/atom; spin magnetization = 0.00 μB per atom; space group = Pmmm, No. 47
1.0
3.998 0.000 0.000
0.000 4.065 0.000
0.000 0.000 4.470
Si Sb Pt
2 1 1
direct
0.000 0.000 0.000
0.500 0.500 0.000
0.000 0.500 0.500
0.500 0.000 0.500


[3]
Si2SbPt (PBE-GGA, relaxed); E_form (uncorrected) = -98 meV/atom; spin magnetization = 0.00 μB per atom; space group = I-42d, No. 122
1.0
-2.828 2.828 5.929
2.828 -2.828 5.929
2.828 2.828 -5.929
Si Sb Pt
4 2 2
direct
0.074 0.625 0.949
0.375 0.324 0.449
0.676 0.125 0.051
0.875 0.926 0.551
0.250 0.750 0.500
0.500 0.500 0.000
0.000 0.000 0.000
0.750 0.250 0.500


[4]
Si2SbPt (PBE-GGA, relaxed); E_form (uncorrected) = 309 meV/atom; spin magnetization = 0.00 μB per atom; space group = I-4m2, No. 119
1.0
-2.198 2.198 3.731
2.198 -2.198 3.731
2.198 2.198 -3.731
Si Sb Pt
2 1 1
direct
0.000 0.000 0.000
0.750 0.250 0.500
0.500 0.500 0.000
0.250 0.750 0.500


[5]
SiSbPt2 (PBE-GGA, relaxed); energy above the lowest structure with this stoichiometry = 250.0 meV/atom; E_form (uncorrected) = -286 meV/atom; spin magnetization = 0.00 μB per atom; space group = I-42d, No. 122
1.0
-2.951 2.951 5.303
2.951 -2.951 5.303
2.951 2.951 -5.303
Si Sb Pt
2 2 4
direct
0.000 0.000 0.000
0.750 0.250 0.500
0.250 0.750 0.500
0.500 0.500 0.000
0.085 0.625 0.960
0.375 0.335 0.460
0.665 0.125 0.040
0.875 0.915 0.540


[6]
SiSb3Pt (PBE-GGA, relaxed); energy above the lowest structure with this stoichiometry = 173.9 meV/atom; E_form (uncorrected) = 868 meV/atom; spin magnetization = 0.00 μB per atom; space group = Pm-3m, No. 221
1.0
5.046 0.000 0.000
0.000 5.046 0.000
0.000 0.000 5.046
Si Sb Pt
1 3 1
direct
0.000 0.000 0.000
0.000 0.000 0.500
0.000 0.500 0.000
0.500 0.000 0.000
0.500 0.500 0.500